Here is crystalline NdTh4Pt5 at its relaxed geometry from Alexandria. Energies are from PBE-GGA.

**Total magnetization**: 0.000 μB per atom
**Energy of formation**: -1179 meV/atom
**Total energy**: -76.4 eV/f.u.
**Mass density**: 12985 kg/m3
**Space group**: Immm, No. 71

POSCAR file:
```
NdTh4Pt5
1.0
4.1332 0.0000 -0.7974
-0.3072 5.7358 -1.5922
-0.0104 -0.0285 11.0567
Nd Pt Th
1 5 4
direct
0.0000 0.0000 0.0000
0.3970 0.8970 0.7940
0.8004 0.3004 0.6009
0.1996 0.6996 0.3991
0.0000 0.5000 0.0000
0.6030 0.1030 0.2060
0.8003 0.8003 0.6005
0.5995 0.5995 0.1989
0.4005 0.4005 0.8011
0.1997 0.1997 0.3995
```